The following is a PBE-GGA calculation of crystalline HoTaC2 at its relaxed geometry, from Alexandria via LeMat-Bulk.

The final energy is -146.996 eV for the cell shown. For the energy of formation from the pure elements, the calculation gives -468 meV per atom. For the distance to the lowest polymorph of the same formula, the calculation gives 50 meV per atom.

The structure belongs to space group Pnma (No. 62); the cell edges are 5.729, 3.482 and 11.075 Å and the angles 90.00°, 90.00° and 90.00°. The asymmetric unit holds Ho at (0.085, 0.250, 0.140), Ta at (0.095, 0.750, 0.394), C at (0.149, 0.250, 0.752) and C at (0.224, 0.250, 0.485).

The following is a PBE-GGA calculation of crystalline HoTaC at its relaxed geometry, from Alexandria via LeMat-Bulk.

The final energy is -424.393 eV for the cell shown. For the energy of formation from the pure elements, the calculation gives -290 meV per atom.

The structure belongs to space group F-43m (No. 216); the cell edges are 9.431, 9.431 and 9.431 Å and the angles 90.00°, 90.00° and 90.00°. The asymmetric unit holds Ho at (0.121, 0.121, 0.121), Ta at (0.135, 0.135, 0.635) and C at (0.135, 0.135, 0.865).

The following is a PBE-GGA calculation of crystalline HoTaC2 at its relaxed geometry, from Alexandria via LeMat-Bulk.

The final energy is -107.782 eV for the cell shown. For the energy of formation from the pure elements, the calculation gives -262 meV per atom. For the distance to the lowest polymorph of the same formula, the calculation gives 256 meV per atom.

The structure belongs to space group R3m (No. 160, hexagonal axes); the cell edges are 3.2639, 3.2639 and 17.4134 Å and the angles 90.00°, 90.00° and 120.00°. The asymmetric unit holds Ho at (0.0000, 0.0000, 0.0000), Ta at (0.0000, 0.0000, 0.1740), C at (0.0000, 0.0000, 0.5771) and C at (0.0000, 0.0000, 0.7674).